Below is a relaxed structure of Ac3PmNd7, with properties calculated at the GGA-PBE level.

a = 8.9408 Å, b = 8.9408 Å, c = 8.9408 Å
α = 140.41°, β = 97.17°, γ = 96.00°
Last column: nearest neighbours and their distance in Å.
Fractional coordinates of all 11 atoms:
Ac: 0.0000 0.0000 0.0000  4 Nd 3.44
Ac: 0.2112 0.5000 0.7112  5 Nd 3.42-3.68
Ac: 0.7888 0.5000 0.2888  5 Nd 3.42-3.68
Pm: 0.5000 0.0000 0.5000  2 Nd 3.03
Nd: 0.0008 0.7959 0.2050  3 Nd 3.39-3.62, 2 Ac 3.44-3.68
Nd: 0.2145 0.7145 0.5000  1 Pm 3.42, 2 Ac 3.58, 2 Nd 3.62
Nd: 0.4091 0.2041 0.2050  3 Nd 3.39-3.62, 2 Ac 3.44-3.68
Nd: 0.5000 0.5000 0.0000  2 Pm 3.03
Nd: 0.5909 0.7959 0.7950  3 Nd 3.39-3.62, 2 Ac 3.44-3.68
Nd: 0.7855 0.2855 0.5000  1 Pm 3.42, 2 Ac 3.58, 2 Nd 3.62
Nd: 0.9992 0.2041 0.7950  3 Nd 3.39-3.62, 2 Ac 3.44-3.68

Output
DFT formation energy ... 0.2482 eV/atom
Magnetization ... 0.00 μB per atom
Crystal system ... orthorhombic
Symmetry ... Immm, No. 71
ρ ... 7.113 g/cm³

Below is a relaxed structure of Ac8PmNd6, with properties calculated at the GGA-PBE level.

a = 9.2738 Å, b = 9.2738 Å, c = 9.2738 Å
α = 66.55°, β = 66.55°, γ = 66.55°
Last column: nearest neighbours and their distance in Å.
Fractional coordinates of all 15 atoms:
Ac: 0.0888 0.6771 0.3629  3 Nd 3.53-3.74, 2 Ac 3.78-3.90
Ac: 0.2335 0.2335 0.2335  6 Nd 3.58-3.86, 3 Ac 3.90
Ac: 0.3229 0.6371 0.9112  3 Nd 3.53-3.74, 2 Ac 3.78-3.90
Ac: 0.3629 0.0888 0.6771  3 Nd 3.53-3.74, 2 Ac 3.78-3.90
Ac: 0.6371 0.9112 0.3229  3 Nd 3.53-3.74, 2 Ac 3.78-3.90
Ac: 0.6771 0.3629 0.0888  3 Nd 3.53-3.74, 2 Ac 3.78-3.90
Ac: 0.7665 0.7665 0.7665  6 Nd 3.58-3.86, 3 Ac 3.90
Ac: 0.9112 0.3229 0.6371  3 Nd 3.53-3.74, 2 Ac 3.78-3.90
Pm: 0.5000 0.5000 0.5000  6 Nd 3.63, 6 Ac 4.01
Nd: 0.1282 0.4372 0.8216  5 Ac 3.53-3.86, 3 Nd 3.54-3.89, 1 Pm 3.63
Nd: 0.1784 0.8718 0.5628  5 Ac 3.53-3.86, 3 Nd 3.54-3.89, 1 Pm 3.63
Nd: 0.4372 0.8216 0.1282  5 Ac 3.53-3.86, 3 Nd 3.54-3.89, 1 Pm 3.63
Nd: 0.5628 0.1784 0.8718  5 Ac 3.53-3.86, 3 Nd 3.54-3.89, 1 Pm 3.63
Nd: 0.8216 0.1282 0.4372  5 Ac 3.53-3.86, 3 Nd 3.54-3.89, 1 Pm 3.63
Nd: 0.8718 0.5628 0.1784  5 Ac 3.53-3.86, 3 Nd 3.54-3.89, 1 Pm 3.63

Output
DFT formation energy ... 0.2259 eV/atom
Magnetization ... 0.00 μB per atom
Crystal system ... trigonal
Symmetry ... R-3, No. 148
ρ ... 7.293 g/cm³

Below is a relaxed structure of Ac2Pm5Nd5, with properties calculated at the GGA-PBE level.

a = 8.3290 Å, b = 8.3290 Å, c = 11.7532 Å
α = 115.13°, β = 115.13°, γ = 36.84°
Last column: nearest neighbours and their distance in Å.
Fractional coordinates of all 12 atoms:
Ac: 0.0827 0.0827 0.2487  7 Nd 3.71-3.76, 5 Pm 3.73-3.76
Ac: 0.9173 0.9173 0.7513  7 Nd 3.71-3.76, 5 Pm 3.73-3.76
Pm: 0.0000 0.0000 0.5000  2 Pm 3.68, 8 Nd 3.71-3.72, 2 Ac 3.73
Pm: 0.1698 0.1698 0.0009  5 Nd 3.64-3.76, 5 Pm 3.66-3.72, 2 Ac 3.74-3.75
Pm: 0.2463 0.2463 0.7490  6 Nd 3.65-3.77, 4 Pm 3.67-3.72, 2 Ac 3.76
Pm: 0.7537 0.7537 0.2510  6 Nd 3.65-3.77, 4 Pm 3.67-3.72, 2 Ac 3.76
Pm: 0.8302 0.8302 0.9991  5 Nd 3.64-3.76, 5 Pm 3.66-3.72, 2 Ac 3.74-3.75
Nd: 0.3342 0.3342 0.4990  4 Nd 3.67-3.76, 5 Pm 3.70-3.77, 3 Ac 3.74
Nd: 0.4132 0.4132 0.2493  7 Pm 3.64-3.72, 3 Nd 3.67-3.76, 2 Ac 3.76
Nd: 0.5000 0.5000 0.0000  4 Ac 3.71, 2 Nd 3.75, 6 Pm 3.76-3.77
Nd: 0.5868 0.5868 0.7507  7 Pm 3.64-3.72, 3 Nd 3.67-3.76, 2 Ac 3.76
Nd: 0.6658 0.6658 0.5010  4 Nd 3.67-3.76, 5 Pm 3.70-3.77, 3 Ac 3.74

Output
DFT formation energy ... 0.0258 eV/atom
Magnetization ... 0.00 μB per atom
Crystal system ... monoclinic
Symmetry ... C2/m, No. 12
ρ ... 7.218 g/cm³

Below is a relaxed structure of Ac5PmNd4, with properties calculated at the GGA-PBE level.

a = 10.1260 Å, b = 10.1260 Å, c = 7.5984 Å
α = 102.75°, β = 102.75°, γ = 31.51°
Last column: nearest neighbours and their distance in Å.
Fractional coordinates of all 10 atoms:
Ac: 0.0000 0.0000 0.0000  6 Nd 3.80-3.81, 2 Pm 3.80, 4 Ac 3.88
Ac: 0.1998 0.1998 0.5999  1 Pm 3.79, 7 Nd 3.80-3.81, 4 Ac 3.87-3.88
Ac: 0.4002 0.4002 0.2006  6 Nd 3.79-3.81, 2 Pm 3.81, 4 Ac 3.87-3.88
Ac: 0.5998 0.5998 0.7994  6 Nd 3.79-3.81, 2 Pm 3.81, 4 Ac 3.87-3.88
Ac: 0.8002 0.8002 0.4001  1 Pm 3.79, 7 Nd 3.80-3.81, 4 Ac 3.87-3.88
Pm: 0.0000 0.0000 0.5000  8 Ac 3.79-3.81, 4 Nd 3.87
Nd: 0.2000 0.2000 0.1000  8 Ac 3.80-3.81, 4 Nd 3.88
Nd: 0.4002 0.4002 0.6999  8 Ac 3.79-3.81, 2 Pm 3.87, 2 Nd 3.88
Nd: 0.5998 0.5998 0.3001  8 Ac 3.79-3.81, 2 Pm 3.87, 2 Nd 3.88
Nd: 0.8000 0.8000 0.9000  8 Ac 3.80-3.81, 4 Nd 3.88

Output
DFT formation energy ... 0.0254 eV/atom
Magnetization ... 0.00 μB per atom
Crystal system ... monoclinic
Symmetry ... C2/m, No. 12
Energy above the lowest structure with this stoichiometry ... 0.000 eV/atom
ρ ... 7.779 g/cm³

Below is a relaxed structure of Ac5PmNd6, with properties calculated at the GGA-PBE level.

a = 10.0818 Å, b = 10.0818 Å, c = 10.0818 Å
α = 148.73°, β = 116.63°, γ = 72.37°
Last column: nearest neighbours and their distance in Å.
Fractional coordinates of all 12 atoms:
Ac: 0.0000 0.0000 0.0000  8 Nd 3.79-3.82, 4 Ac 3.84
Ac: 0.1669 0.6669 0.5000  8 Nd 3.79-3.81, 4 Ac 3.84-3.88
Ac: 0.3367 0.3367 0.0000  8 Nd 3.73-3.86, 2 Pm 3.80, 2 Ac 3.88
Ac: 0.6633 0.6633 0.0000  8 Nd 3.73-3.86, 2 Pm 3.80, 2 Ac 3.88
Ac: 0.8331 0.3331 0.5000  8 Nd 3.79-3.81, 4 Ac 3.84-3.88
Pm: 0.5000 0.0000 0.5000  8 Nd 3.76-3.77, 4 Ac 3.80
Nd: 0.0867 0.8347 0.2520  1 Pm 3.76, 7 Ac 3.78-3.86, 4 Nd 3.82-3.87
Nd: 0.2529 0.5000 0.7529  6 Ac 3.73-3.82, 2 Pm 3.77, 4 Nd 3.82
Nd: 0.4173 0.1653 0.2520  1 Pm 3.76, 7 Ac 3.78-3.86, 4 Nd 3.82-3.87
Nd: 0.5827 0.8347 0.7480  1 Pm 3.76, 7 Ac 3.78-3.86, 4 Nd 3.82-3.87
Nd: 0.7471 0.5000 0.2471  6 Ac 3.73-3.82, 2 Pm 3.77, 4 Nd 3.82
Nd: 0.9133 0.1653 0.7480  1 Pm 3.76, 7 Ac 3.78-3.86, 4 Nd 3.82-3.87

Output
DFT formation energy ... 0.0315 eV/atom
Magnetization ... 0.00 μB per atom
Crystal system ... orthorhombic
Symmetry ... Immm, No. 71
ρ ... 7.607 g/cm³

Below is a relaxed structure of Ac9PmNd2, with properties calculated at the GGA-PBE level.

a = 5.5295 Å, b = 5.5295 Å, c = 16.5899 Å
α = 90.00°, β = 90.00°, γ = 90.00°
Last column: nearest neighbours and their distance in Å.
Fractional coordinates of all 12 atoms:
Ac: 0.0000 0.0000 0.0000  8 Ac 3.91, 4 Pm 3.91
Ac: 0.0000 0.0000 0.3331  4 Nd 3.91, 8 Ac 3.91
Ac: 0.0000 0.0000 0.6669  4 Nd 3.91, 8 Ac 3.91
Ac: 0.0000 0.5000 0.1663  2 Pm 3.91, 8 Ac 3.91, 2 Nd 3.91
Ac: 0.0000 0.5000 0.5000  8 Ac 3.91, 4 Nd 3.91
Ac: 0.0000 0.5000 0.8337  2 Pm 3.91, 8 Ac 3.91, 2 Nd 3.91
Ac: 0.5000 0.0000 0.1663  2 Pm 3.91, 8 Ac 3.91, 2 Nd 3.91
Ac: 0.5000 0.0000 0.5000  8 Ac 3.91, 4 Nd 3.91
Ac: 0.5000 0.0000 0.8337  2 Pm 3.91, 8 Ac 3.91, 2 Nd 3.91
Pm: 0.5000 0.5000 0.0000  12 Ac 3.91
Nd: 0.5000 0.5000 0.3332  12 Ac 3.91
Nd: 0.5000 0.5000 0.6668  12 Ac 3.91

Output
DFT formation energy ... 0.0216 eV/atom
Magnetization ... 0.00 μB per atom
Crystal system ... tetragonal
Symmetry ... P4/mmm, No. 123
ρ ... 8.107 g/cm³

Below is a relaxed structure of Ac6Pm4Nd, with properties calculated at the GGA-PBE level.

a = 9.8852 Å, b = 9.8852 Å, c = 9.8852 Å
α = 136.14°, β = 136.14°, γ = 63.76°
Last column: nearest neighbours and their distance in Å.
Fractional coordinates of all 11 atoms:
Ac: 0.0000 0.5000 0.5000  4 Pm 3.28
Ac: 0.1259 0.1259 0.6166  3 Pm 3.62-3.85, 1 Nd 3.66, 1 Ac 4.00
Ac: 0.4907 0.8741 0.0000  3 Pm 3.62-3.85, 1 Nd 3.66, 1 Ac 4.00
Ac: 0.5000 0.0000 0.5000  4 Pm 3.28
Ac: 0.5093 0.5093 0.3834  3 Pm 3.62-3.85, 1 Nd 3.66, 1 Ac 4.00
Ac: 0.8741 0.4907 0.0000  3 Pm 3.62-3.85, 1 Nd 3.66, 1 Ac 4.00
Pm: 0.0548 0.7389 0.0000  3 Ac 3.28-3.62, 1 Pm 3.30
Pm: 0.2611 0.2611 0.3159  3 Ac 3.28-3.62, 1 Pm 3.30
Pm: 0.7389 0.0548 0.0000  3 Ac 3.28-3.62, 1 Pm 3.30
Pm: 0.9452 0.9452 0.6841  3 Ac 3.28-3.62, 1 Pm 3.30
Nd: 0.5000 0.5000 0.0000  8 Ac 3.66-3.69, 4 Pm 3.97

Output
DFT formation energy ... 0.2921 eV/atom
Magnetization ... 0.00 μB per atom
Crystal system ... tetragonal
Symmetry ... I-42m, No. 121
ρ ... 7.570 g/cm³

Below is a relaxed structure of AcPm4Nd7, with properties calculated at the GGA-PBE level.

a = 6.4531 Å, b = 7.4383 Å, c = 9.2182 Å
α = 90.00°, β = 103.54°, γ = 90.01°
Last column: nearest neighbours and their distance in Å.
Fractional coordinates of all 12 atoms:
Ac: 0.0000 0.0000 0.0000  2 Pm 3.71, 10 Nd 3.71-3.74
Pm: 0.2181 0.5001 0.6674  4 Pm 3.66-3.72, 8 Nd 3.66-3.72
Pm: 0.2808 0.2539 0.3344  8 Nd 3.64-3.78, 3 Pm 3.68-3.72, 1 Ac 3.71
Pm: 0.7192 0.7461 0.6656  8 Nd 3.64-3.78, 3 Pm 3.68-3.72, 1 Ac 3.71
Pm: 0.7819 0.4999 0.3326  4 Pm 3.66-3.72, 8 Nd 3.66-3.72
Nd: 0.0000 0.5000 0.0000  4 Pm 3.66-3.68, 6 Nd 3.68-3.71, 2 Ac 3.72
Nd: 0.2242 0.9999 0.6636  6 Nd 3.66-3.77, 5 Pm 3.67-3.77, 1 Ac 3.72
Nd: 0.2813 0.7459 0.3348  6 Pm 3.64-3.78, 5 Nd 3.66-3.77, 1 Ac 3.71
Nd: 0.5000 0.2537 0.0002  7 Nd 3.66-3.77, 3 Pm 3.67-3.68, 2 Ac 3.74
Nd: 0.5000 0.7463 0.9998  7 Nd 3.66-3.77, 3 Pm 3.67-3.68, 2 Ac 3.74
Nd: 0.7187 0.2541 0.6652  6 Pm 3.64-3.78, 5 Nd 3.66-3.77, 1 Ac 3.71
Nd: 0.7758 0.0001 0.3364  6 Nd 3.66-3.77, 5 Pm 3.67-3.77, 1 Ac 3.72

Output
DFT formation energy ... 0.0161 eV/atom
Magnetization ... 0.00 μB per atom
Crystal system ... triclinic
Symmetry ... P-1, No. 2
Energy above the lowest structure with this stoichiometry ... 0.000 eV/atom
ρ ... 7.013 g/cm³

Below is a relaxed structure of Ac5Pm3Nd2, with properties calculated at the GGA-PBE level.

a = 6.6194 Å, b = 6.6194 Å, c = 12.0849 Å
α = 90.02°, β = 90.02°, γ = 48.63°
Last column: nearest neighbours and their distance in Å.
Fractional coordinates of all 10 atoms:
Ac: 0.0000 0.0000 0.0000  6 Ac 3.83-3.86, 2 Pm 3.84, 4 Nd 3.88
Ac: 0.1966 0.1966 0.4013  7 Pm 3.76-3.87, 2 Nd 3.79, 3 Ac 3.82-3.84
Ac: 0.3026 0.3026 0.1037  4 Nd 3.80-3.92, 6 Ac 3.82-3.91, 2 Pm 3.82
Ac: 0.6974 0.6974 0.8963  4 Nd 3.80-3.92, 6 Ac 3.82-3.91, 2 Pm 3.82
Ac: 0.8034 0.8034 0.5987  7 Pm 3.76-3.87, 2 Nd 3.79, 3 Ac 3.82-3.84
Pm: 0.0985 0.0985 0.6981  7 Ac 3.76-3.87, 3 Nd 3.81, 2 Pm 3.82
Pm: 0.5000 0.5000 0.5000  2 Nd 3.76, 6 Ac 3.81-3.85, 4 Pm 3.82
Pm: 0.9015 0.9015 0.3019  7 Ac 3.76-3.87, 3 Nd 3.81, 2 Pm 3.82
Nd: 0.3994 0.3994 0.7941  4 Pm 3.76-3.81, 8 Ac 3.79-3.92
Nd: 0.6006 0.6006 0.2059  4 Pm 3.76-3.81, 8 Ac 3.79-3.92

Output
DFT formation energy ... 0.0397 eV/atom
Magnetization ... 0.00 μB per atom
Crystal system ... monoclinic
Symmetry ... C2/m, No. 12
ρ ... 7.766 g/cm³

Below is a relaxed structure of Ac4PmNd2, with properties calculated at the GGA-PBE level.

a = 7.2188 Å, b = 7.2188 Å, c = 9.0703 Å
α = 121.72°, β = 121.72°, γ = 50.01°
Last column: nearest neighbours and their distance in Å.
Fractional coordinates of all 7 atoms:
Ac: 0.1599 0.1599 0.0190  1 Nd 3.52, 2 Pm 3.65
Ac: 0.1706 0.1706 0.5594  3 Nd 3.69-3.95, 1 Pm 3.82, 1 Ac 3.94
Ac: 0.8294 0.8294 0.4406  3 Nd 3.69-3.95, 1 Pm 3.82, 1 Ac 3.94
Ac: 0.8401 0.8401 0.9810  1 Nd 3.52, 2 Pm 3.65
Pm: 0.5000 0.5000 0.0000  2 Nd 3.05
Nd: 0.4890 0.4890 0.3268  1 Nd 2.98, 1 Pm 3.05
Nd: 0.5110 0.5110 0.6732  1 Nd 2.98, 1 Pm 3.05

Output
DFT formation energy ... 0.2426 eV/atom
Magnetization ... 0.00 μB per atom
Crystal system ... monoclinic
Symmetry ... C2/m, No. 12
Energy above the lowest structure with this stoichiometry ... 0.000 eV/atom
ρ ... 7.552 g/cm³

What did the fourth record say?
Below is a relaxed structure of Ac5PmNd4, with properties calculated at the GGA-PBE level.

a = 10.1260 Å, b = 10.1260 Å, c = 7.5984 Å
α = 102.75°, β = 102.75°, γ = 31.51°
Last column: nearest neighbours and their distance in Å.
Fractional coordinates of all 10 atoms:
Ac: 0.0000 0.0000 0.0000  6 Nd 3.80-3.81, 2 Pm 3.80, 4 Ac 3.88
Ac: 0.1998 0.1998 0.5999  1 Pm 3.79, 7 Nd 3.80-3.81, 4 Ac 3.87-3.88
Ac: 0.4002 0.4002 0.2006  6 Nd 3.79-3.81, 2 Pm 3.81, 4 Ac 3.87-3.88
Ac: 0.5998 0.5998 0.7994  6 Nd 3.79-3.81, 2 Pm 3.81, 4 Ac 3.87-3.88
Ac: 0.8002 0.8002 0.4001  1 Pm 3.79, 7 Nd 3.80-3.81, 4 Ac 3.87-3.88
Pm: 0.0000 0.0000 0.5000  8 Ac 3.79-3.81, 4 Nd 3.87
Nd: 0.2000 0.2000 0.1000  8 Ac 3.80-3.81, 4 Nd 3.88
Nd: 0.4002 0.4002 0.6999  8 Ac 3.79-3.81, 2 Pm 3.87, 2 Nd 3.88
Nd: 0.5998 0.5998 0.3001  8 Ac 3.79-3.81, 2 Pm 3.87, 2 Nd 3.88
Nd: 0.8000 0.8000 0.9000  8 Ac 3.80-3.81, 4 Nd 3.88

Output
DFT formation energy ... 0.0254 eV/atom
Magnetization ... 0.00 μB per atom
Crystal system ... monoclinic
Symmetry ... C2/m, No. 12
Energy above the lowest structure with this stoichiometry ... 0.000 eV/atom
ρ ... 7.779 g/cm³

Q: Look up the magnetization of the second one.
A: 0.00 μB per atom

Copy entry 2 word for word.
Below is a relaxed structure of Ac8PmNd6, with properties calculated at the GGA-PBE level.

a = 9.2738 Å, b = 9.2738 Å, c = 9.2738 Å
α = 66.55°, β = 66.55°, γ = 66.55°
Last column: nearest neighbours and their distance in Å.
Fractional coordinates of all 15 atoms:
Ac: 0.0888 0.6771 0.3629  3 Nd 3.53-3.74, 2 Ac 3.78-3.90
Ac: 0.2335 0.2335 0.2335  6 Nd 3.58-3.86, 3 Ac 3.90
Ac: 0.3229 0.6371 0.9112  3 Nd 3.53-3.74, 2 Ac 3.78-3.90
Ac: 0.3629 0.0888 0.6771  3 Nd 3.53-3.74, 2 Ac 3.78-3.90
Ac: 0.6371 0.9112 0.3229  3 Nd 3.53-3.74, 2 Ac 3.78-3.90
Ac: 0.6771 0.3629 0.0888  3 Nd 3.53-3.74, 2 Ac 3.78-3.90
Ac: 0.7665 0.7665 0.7665  6 Nd 3.58-3.86, 3 Ac 3.90
Ac: 0.9112 0.3229 0.6371  3 Nd 3.53-3.74, 2 Ac 3.78-3.90
Pm: 0.5000 0.5000 0.5000  6 Nd 3.63, 6 Ac 4.01
Nd: 0.1282 0.4372 0.8216  5 Ac 3.53-3.86, 3 Nd 3.54-3.89, 1 Pm 3.63
Nd: 0.1784 0.8718 0.5628  5 Ac 3.53-3.86, 3 Nd 3.54-3.89, 1 Pm 3.63
Nd: 0.4372 0.8216 0.1282  5 Ac 3.53-3.86, 3 Nd 3.54-3.89, 1 Pm 3.63
Nd: 0.5628 0.1784 0.8718  5 Ac 3.53-3.86, 3 Nd 3.54-3.89, 1 Pm 3.63
Nd: 0.8216 0.1282 0.4372  5 Ac 3.53-3.86, 3 Nd 3.54-3.89, 1 Pm 3.63
Nd: 0.8718 0.5628 0.1784  5 Ac 3.53-3.86, 3 Nd 3.54-3.89, 1 Pm 3.63

Output
DFT formation energy ... 0.2259 eV/atom
Magnetization ... 0.00 μB per atom
Crystal system ... trigonal
Symmetry ... R-3, No. 148
ρ ... 7.293 g/cm³